This record from Alexandria via LeMat-Bulk describes a relaxed structure of Cs2KSi2. The functional is PBE.

```
5
Lattice="-1.4017 -3.6397 1.0633 3.5790 -4.4067 -10.3659 5.5110 1.1121 3.3866" Properties=species:S:1:pos:R:3 pbc="T T T"
Cs 4.1981 -1.7777 -0.5510
Cs 3.4902 -5.1566 -5.3649
K 0.0000 0.0000 0.0000
Si 1.6805 -2.3418 1.8842
Si 6.0078 -4.5925 -7.8002
```

Computed properties:
The value obtained for the uncorrected formation energy is 0.079 eV per atom. The space group is C2/m, No. 12. The value obtained for the energy above the most stable polymorph in this dataset is 0 kJ/mol of formula units. For the calculated density, the calculation gives 2.09 g cm⁻³. As for the crystal system: monoclinic.

***

This record from Alexandria via LeMat-Bulk describes a relaxed structure of SrYAs. The functional is PBE.

```
3
Lattice="7.1766 0.0058 -0.0061 6.1817 3.6452 0.0221 0.9949 0.2433 3.6314" Properties=species:S:1:pos:R:3 pbc="T T T"
Y 8.6255 2.3465 1.4000
Sr 5.4531 1.4721 2.3277
As 1.2695 0.3190 3.5511
```

Computed properties:
The space group is I4mm, No. 107. For the calculated density, the calculation gives 4.40 g cm⁻³. As for the crystal system: tetragonal. The formation energy comes out at -0.741 eV/atom.

***

This record from Alexandria via LeMat-Bulk describes a relaxed structure of CsRhBr6. The functional is PBE.

```
8
Lattice="6.5516 -0.1414 -0.1600 -0.8561 6.4970 -0.1600 -0.8561 -0.9553 6.4284" Properties=species:S:1:pos:R:3 pbc="T T T"
Cs 0.0000 0.0000 0.0000
Rh 2.4197 2.7001 3.0542
Br 0.8077 3.5170 1.3427
Br 0.8077 0.9013 3.6551
Br 4.0317 1.8832 4.7658
Br 1.4316 4.2132 4.7658
Br 4.0317 4.4989 2.4533
Br 3.4078 1.1870 1.3427
```

Computed properties:
The value obtained for the uncorrected formation energy is -0.542 eV per atom. The space group is R-3m, No. 166. For the calculated density, the calculation gives 4.39 g cm⁻³. As for the crystal system: trigonal.

***

This record from Alexandria via LeMat-Bulk describes a relaxed structure of BaZnSe2. The functional is PBE.

```
16
Lattice="4.2785 0.0000 0.0000 0.0000 7.3258 0.0000 0.0000 0.0000 15.5066" Properties=species:S:1:pos:R:3 pbc="T T T"
Ba 3.2089 0.3599 2.4307
Ba 1.0696 6.9659 13.0758
Ba 3.2089 4.0228 5.3225
Ba 1.0696 3.3030 10.1840
Zn 1.0696 4.4757 0.9929
Zn 1.0696 0.8128 6.7604
Zn 3.2089 2.8501 14.5137
Zn 3.2089 6.5130 8.7461
Se 3.2089 1.6233 8.0633
Se 1.0696 5.7025 7.4433
Se 3.2089 5.2862 15.1966
Se 1.0696 2.0396 0.3100
Se 3.2089 1.9522 12.2971
Se 1.0696 1.7107 4.5439
Se 3.2089 5.6151 10.9627
Se 1.0696 5.3736 3.2094
```

Computed properties:
The value obtained for the uncorrected formation energy is -1.332 eV per atom. The space group is Pnma, No. 62. For the calculated density, the calculation gives 4.93 g cm⁻³. As for the crystal system: orthorhombic.

***

The highest calculated density belongs to which entry?
BaZnSe2